*one*
The following is a GGA-PBE calculation of a relaxed YSb3Pt crystal, from Alexandria via LeMat-Bulk.

Its magnetic moment is 0.00 μB/f.u. Its crystal system is cubic. For the density, the calculation gives 7.34 Mg/m³. The calculation puts the density of states at the Fermi level at 3.69 states/eV/cell. Its symmetry is Pm-3m.

a = 5.2766 Å, b = 5.2766 Å, c = 5.2766 Å
α = 90.00°, β = 90.00°, γ = 90.00°
Last column: nearest neighbours and their distance in Å.
Positions (direct):
Sb 0.5000 0.0000 0.0000  2 Pt 2.64
Sb 0.0000 0.5000 0.0000  2 Pt 2.64
Sb 0.0000 0.0000 0.5000  2 Pt 2.64
Pt 0.0000 0.0000 0.0000  6 Sb 2.64
Y 0.5000 0.5000 0.5000  12 Sb 3.73

*two*
The following is a GGA-PBE calculation of a relaxed YSb3Pt crystal, from Alexandria via LeMat-Bulk.

Its magnetic moment is 0.00 μB/f.u. Its crystal system is cubic. For the density, the calculation gives 5.95 Mg/m³. The calculation puts the density of states at the Fermi level at 2.99 states/eV/cell. Its symmetry is Pm-3m.

a = 5.6584 Å, b = 5.6584 Å, c = 5.6584 Å
α = 90.00°, β = 90.00°, γ = 90.00°
Last column: nearest neighbours and their distance in Å.
Positions (direct):
Y 0.0000 0.0000 0.0000  6 Sb 2.83
Pt 0.5000 0.5000 0.5000  12 Sb 4.00
Sb 0.5000 0.0000 0.0000  2 Y 2.83
Sb 0.0000 0.5000 0.0000  2 Y 2.83
Sb 0.0000 0.0000 0.5000  2 Y 2.83

Tell me which of them is the most stable. Sure, it is *one*.

*one*
The following is a GGA-PBE calculation of a relaxed Y4SbPt crystal, from Alexandria via LeMat-Bulk.

Its magnetic moment is 0.00 μB/f.u. Its crystal system is cubic. For the density, the calculation gives 6.93 Mg/m³. The calculation puts the density of states at the Fermi level at 8.35 states/eV/cell. Its symmetry is F-43m.

a = 6.1068 Å, b = 6.1068 Å, c = 6.1068 Å
α = 60.00°, β = 60.00°, γ = 60.00°
Last column: nearest neighbours and their distance in Å.
Positions (direct):
Y 0.3749 0.3749 0.8753  6 Y 3.05-3.06
Y 0.3749 0.8753 0.3749  6 Y 3.05-3.06
Y 0.3749 0.3749 0.3749  6 Y 3.05-3.06
Y 0.8753 0.3749 0.3749  6 Y 3.05-3.06
Pt 0.7500 0.7500 0.7500  12 Y 3.58, 4 Sb 3.74
Sb 0.0000 0.0000 0.0000  12 Y 3.58, 4 Pt 3.74

*two*
The following is a GGA-PBE calculation of a relaxed Y4SbPt crystal, from Alexandria via LeMat-Bulk.

Its magnetic moment is 0.00 μB/f.u. Its crystal system is monoclinic. For the density, the calculation gives 6.73 Mg/m³. The calculation puts the density of states at the Fermi level at 11.90 states/eV/cell. Its symmetry is P2_1/m.

a = 6.1368 Å, b = 6.5900 Å, c = 8.7466 Å
α = 90.00°, β = 110.17°, γ = 90.00°
Last column: nearest neighbours and their distance in Å.
Positions (direct):
Y 0.3957 0.7500 0.1009  1 Pt 2.87, 1 Sb 3.18
Y 0.6043 0.2500 0.8991  1 Pt 2.87, 1 Sb 3.18
Y 0.0003 0.0002 0.2926  2 Pt 2.87-2.95, 1 Sb 3.21
Y 0.9997 0.5002 0.7074  2 Pt 2.87-2.95, 1 Sb 3.21
Y 0.0003 0.4998 0.2926  2 Pt 2.87-2.95, 1 Sb 3.21
Y 0.5657 0.2500 0.3912  1 Pt 2.79, 1 Sb 3.12
Y 0.4343 0.7500 0.6088  1 Pt 2.79, 1 Sb 3.12
Y 0.9997 0.9998 0.7074  2 Pt 2.87-2.95, 1 Sb 3.21
Pt 0.2729 0.2500 0.5739  6 Y 2.79-2.95
Pt 0.7271 0.7500 0.4261  6 Y 2.79-2.95
Sb 0.8063 0.7500 0.9575  7 Y 3.12-3.40
Sb 0.1937 0.2500 0.0425  7 Y 3.12-3.40

Tell me which of them is the most stable. Sure, it is *two*.

*one*
The following is a GGA-PBE calculation of a relaxed Zn2SbPt2 crystal, from Alexandria via LeMat-Bulk.

Its magnetic moment is 0.00 μB/f.u. Its crystal system is tetragonal. For the density, the calculation gives 12.51 Mg/m³. The calculation puts the density of states at the Fermi level at 3.33 states/eV/cell. Its symmetry is P4/mbm.

a = 7.6298 Å, b = 7.6298 Å, c = 2.9301 Å
α = 90.00°, β = 90.00°, γ = 90.00°
Last column: nearest neighbours and their distance in Å.
Positions (direct):
Sb 0.5000 0.5000 0.0000  4 Pt 2.85, 2 Sb 2.93
Sb 0.0000 0.0000 0.0000  4 Pt 2.85, 2 Sb 2.93
Pt 0.3349 0.8349 0.0000  6 Zn 2.65-2.70, 2 Sb 2.85, 2 Pt 2.93
Pt 0.8349 0.6651 0.0000  6 Zn 2.65-2.70, 2 Sb 2.85, 2 Pt 2.93
Pt 0.6651 0.1651 0.0000  6 Zn 2.65-2.70, 2 Sb 2.85, 2 Pt 2.93
Pt 0.1651 0.3349 0.0000  6 Zn 2.65-2.70, 2 Sb 2.85, 2 Pt 2.93
Zn 0.1301 0.6301 0.5000  6 Pt 2.65-2.70, 3 Zn 2.81-2.93
Zn 0.6301 0.8699 0.5000  6 Pt 2.65-2.70, 3 Zn 2.81-2.93
Zn 0.8699 0.3699 0.5000  6 Pt 2.65-2.70, 3 Zn 2.81-2.93
Zn 0.3699 0.1301 0.5000  6 Pt 2.65-2.70, 3 Zn 2.81-2.93

*two*
The following is a GGA-PBE calculation of a relaxed Zn2SbPt2 crystal, from Alexandria via LeMat-Bulk.

Its magnetic moment is 0.00 μB/f.u. Its crystal system is tetragonal. For the density, the calculation gives 12.20 Mg/m³. The calculation puts the density of states at the Fermi level at 1.49 states/eV/cell. Its symmetry is I4/mmm.

a = 3.6341 Å, b = 3.6341 Å, c = 7.1075 Å
α = 75.19°, β = 75.19°, γ = 90.00°
Last column: nearest neighbours and their distance in Å.
Positions (direct):
Zn 0.7500 0.2500 0.5000  4 Zn 2.57, 4 Pt 2.64
Zn 0.2500 0.7500 0.5000  4 Zn 2.57, 4 Pt 2.64
Pt 0.3946 0.3946 0.2109  4 Zn 2.64, 1 Pt 2.79, 4 Sb 2.93
Pt 0.6054 0.6054 0.7891  4 Zn 2.64, 1 Pt 2.79, 4 Sb 2.93
Sb 0.0000 0.0000 0.0000  8 Pt 2.93

*three*
The following is a GGA-PBE calculation of a relaxed Zn2SbPt2 crystal, from Alexandria via LeMat-Bulk.

Its magnetic moment is 0.00 μB/f.u. Its crystal system is tetragonal. For the density, the calculation gives 12.55 Mg/m³. The calculation puts the density of states at the Fermi level at 2.97 states/eV/cell. Its symmetry is P4/mbm.

a = 7.6589 Å, b = 7.6589 Å, c = 2.9005 Å
α = 90.00°, β = 90.00°, γ = 90.00°
Last column: nearest neighbours and their distance in Å.
Positions (direct):
Zn 0.3774 0.8774 0.0000  3 Zn 2.66-2.90, 6 Pt 2.66-2.71
Zn 0.8774 0.6226 0.0000  3 Zn 2.66-2.90, 6 Pt 2.66-2.71
Zn 0.1226 0.3774 0.0000  3 Zn 2.66-2.90, 6 Pt 2.66-2.71
Zn 0.6226 0.1226 0.0000  3 Zn 2.66-2.90, 6 Pt 2.66-2.71
Pt 0.8282 0.3282 0.5000  6 Zn 2.66-2.71, 2 Pt 2.90
Pt 0.1718 0.6718 0.5000  6 Zn 2.66-2.71, 2 Pt 2.90
Pt 0.6718 0.8282 0.5000  6 Zn 2.66-2.71, 2 Pt 2.90
Pt 0.3282 0.1718 0.5000  6 Zn 2.66-2.71, 2 Pt 2.90
Sb 0.0000 0.0000 0.0000  2 Sb 2.90, 4 Zn 3.04, 8 Pt 3.19
Sb 0.5000 0.5000 0.0000  2 Sb 2.90, 4 Zn 3.04, 8 Pt 3.19

Tell me which of them is the most stable. Sure, it is *one*.

*one*
The following is a GGA-PBE calculation of a relaxed Zn2Sb2Pt crystal, from Alexandria via LeMat-Bulk.

Its magnetic moment is 0.00 μB/f.u. Its crystal system is tetragonal. For the density, the calculation gives 8.61 Mg/m³. The calculation puts the density of states at the Fermi level at 4.79 states/eV/cell. Its symmetry is P4/mbm.

a = 7.3661 Å, b = 7.3661 Å, c = 4.0471 Å
α = 90.00°, β = 90.00°, γ = 90.00°
Last column: nearest neighbours and their distance in Å.
Positions (direct):
Zn 0.8747 0.3747 0.5000  1 Zn 2.61, 2 Sb 2.84
Zn 0.6253 0.8747 0.5000  1 Zn 2.61, 2 Sb 2.84
Zn 0.1253 0.6253 0.5000  1 Zn 2.61, 2 Sb 2.84
Zn 0.3747 0.1253 0.5000  1 Zn 2.61, 2 Sb 2.84
Pt 0.0000 0.0000 0.0000  4 Sb 2.69
Pt 0.5000 0.5000 0.0000  4 Sb 2.69
Sb 0.8162 0.6838 0.0000  2 Pt 2.69, 2 Zn 2.84
Sb 0.3162 0.8162 0.0000  2 Pt 2.69, 2 Zn 2.84
Sb 0.6838 0.1838 0.0000  2 Pt 2.69, 2 Zn 2.84
Sb 0.1838 0.3162 0.0000  2 Pt 2.69, 2 Zn 2.84

*two*
The following is a GGA-PBE calculation of a relaxed Zn2Sb2Pt crystal, from Alexandria via LeMat-Bulk.

Its magnetic moment is 0.00 μB/f.u. Its crystal system is tetragonal. For the density, the calculation gives 9.41 Mg/m³. The calculation puts the density of states at the Fermi level at 3.32 states/eV/cell. Its symmetry is P4/mbm.

a = 6.7675 Å, b = 6.7675 Å, c = 4.3868 Å
α = 90.00°, β = 90.00°, γ = 90.00°
Last column: nearest neighbours and their distance in Å.
Positions (direct):
Zn 0.1372 0.3628 0.0000  2 Pt 2.62, 1 Zn 2.63, 2 Sb 2.85
Zn 0.6372 0.1372 0.0000  2 Pt 2.62, 1 Zn 2.63, 2 Sb 2.85
Zn 0.8628 0.6372 0.0000  2 Pt 2.62, 1 Zn 2.63, 2 Sb 2.85
Zn 0.3628 0.8628 0.0000  2 Pt 2.62, 1 Zn 2.63, 2 Sb 2.85
Pt 0.5000 0.5000 0.0000  4 Zn 2.62
Pt 0.0000 0.0000 0.0000  4 Zn 2.62
Sb 0.8281 0.3281 0.5000  6 Zn 2.85-3.04
Sb 0.1719 0.6719 0.5000  6 Zn 2.85-3.04
Sb 0.3281 0.1719 0.5000  6 Zn 2.85-3.04
Sb 0.6719 0.8281 0.5000  6 Zn 2.85-3.04

Tell me which of them is the most stable. Sure, it is *two*.